w | This record from Alexandria describes a relaxed structure of AlAu2Cl. The functional is PBE.

Properties
M_tot ... 0.000 μB/cell

Cell lengths 2.9636, 4.9874, 5.0730 Å; angles 90.00, 90.00, 90.00 degrees
Positions (direct):
1 Al 0.0000 0.0000 0.0000
2 Au 0.0000 0.5000 0.5000
3 Au 0.5000 0.5000 0.0000
4 Cl 0.5000 0.0000 0.5000


x | This record from Alexandria describes a relaxed structure of AlAu2Cl. The functional is PBE.

Properties
M_tot ... 0.000 μB/cell

Cell lengths 5.0609, 5.0609, 5.0609 Å; angles 129.10, 129.10, 74.85 degrees
Positions (direct):
1 Al 0.0000 0.0000 0.0000
2 Au 0.2500 0.7500 0.5000
3 Au 0.5000 0.5000 0.0000
4 Cl 0.7500 0.2500 0.5000


y | This record from Alexandria describes a relaxed structure of AlAu2Cl. The functional is PBE.

Properties
M_tot ... 0.000 μB/cell

Cell lengths 6.2786, 6.2786, 6.2786 Å; angles 114.84, 114.84, 99.20 degrees
Positions (direct):
1 Al 0.0000 0.0000 0.0000
2 Al 0.7500 0.2500 0.5000
3 Au 0.0919 0.6250 0.9669
4 Au 0.3750 0.3419 0.4669
5 Au 0.6581 0.1250 0.0331
6 Au 0.8750 0.9081 0.5331
7 Cl 0.2500 0.7500 0.5000
8 Cl 0.5000 0.5000 0.0000


Which one is most stable, and which one is least stable? y is the most stable of them, while x is the least stable.


w | This record from Alexandria describes a relaxed structure of AlAuCl4. The functional is PBE.

Properties
M_tot ... 0.000 μB/cell

Cell lengths 6.4005, 6.4005, 6.4005 Å; angles 119.41, 119.41, 91.03 degrees
Positions (direct):
1 Al 0.0000 0.0000 0.0000
2 Au 0.7500 0.2500 0.5000
3 Cl 0.0718 0.0571 0.3955
4 Cl 0.3237 0.9282 0.9853
5 Cl 0.6616 0.6763 0.6045
6 Cl 0.9429 0.3384 0.0147


x | This record from Alexandria describes a relaxed structure of AlAuCl4. The functional is PBE.

Properties
M_tot ... 2.095 μB/cell

Cell lengths 5.9572, 5.9572, 5.9572 Å; angles 60.00, 60.00, 60.00 degrees
Positions (direct):
1 Al 0.0000 0.0000 0.0000
2 Au 0.7500 0.7500 0.7500
3 Cl 0.3750 0.3750 0.3750
4 Cl 0.3750 0.3750 0.8749
5 Cl 0.3750 0.8749 0.3750
6 Cl 0.8749 0.3750 0.3750


Which one is most stable, and which one is least stable? w is the most stable of them, while x is the least stable.


w | This record from Alexandria describes a relaxed structure of AlAuCl2. The functional is PBE.

Properties
M_tot ... 0.000 μB/cell

Cell lengths 3.5666, 4.1141, 6.1547 Å; angles 90.00, 90.00, 90.00 degrees
Positions (direct):
1 Al 0.0000 0.0000 0.0000
2 Au 0.5000 0.0000 0.5000
3 Cl 0.0000 0.5000 0.5000
4 Cl 0.5000 0.5000 0.0000


x | This record from Alexandria describes a relaxed structure of AlAuCl2. The functional is PBE.

Properties
M_tot ... 0.001 μB/cell

Cell lengths 5.3190, 5.3190, 3.1417 Å; angles 90.00, 90.00, 90.00 degrees
Positions (direct):
1 Al 0.0000 0.0000 0.0000
2 Au 0.5000 0.5000 0.0000
3 Cl 0.0000 0.5000 0.0000
4 Cl 0.5000 0.0000 0.0000


Which one is most stable, and which one is least stable? x is the most stable of them, while w is the least stable.


w | This record from Alexandria describes a relaxed structure of AlAuCl2. The functional is PBE.

Properties
M_tot ... 0.000 μB/cell

Cell lengths 3.4605, 3.8892, 7.0855 Å; angles 90.00, 90.97, 90.00 degrees
Positions (direct):
1 Al 0.0000 0.0000 0.0000
2 Au 0.5000 0.0000 0.5000
3 Cl 0.4329 0.5000 0.2507
4 Cl 0.5671 0.5000 0.7493


x | This record from Alexandria describes a relaxed structure of AlAuCl2. The functional is PBE.

Properties
M_tot ... 0.000 μB/cell

Cell lengths 3.4605, 3.4605, 8.2918 Å; angles 90.00, 90.00, 120.17 degrees
Positions (direct):
1 Al 0.0000 0.0000 0.0000
2 Au 0.0000 0.0000 0.5000
3 Cl 0.5000 0.5000 0.2424
4 Cl 0.5000 0.5000 0.7576


Which one is most stable, and which one is least stable? w is the most stable of them, while x is the least stable.